# 1
DFT (PBE) results for Sr3IrO6F2 after structural relaxation.

- DOS(E_F) (states/eV/cell) = 5.2
- formation energy from raw total energies (eV/atom) = -2.034
- space group = C2/m (12)

Cell: 4.9673 6.9262 6.9325 Å, 119.97 88.71 90.00°
Last column: nearest neighbours and their distance in Å.
Positions (direct):
O (0.7176, 0.2595, 0.1223)  1 Ir 1.91
O (0.7081, 0.8636, 0.7272)  1 Ir 1.91
O (0.2824, 0.7405, 0.8777)  1 Ir 1.91
O (0.2824, 0.1371, 0.8777)  1 Ir 1.91
O (0.7176, 0.8629, 0.1223)  1 Ir 1.91
O (0.2919, 0.1364, 0.2728)  1 Ir 1.91
F (0.7623, 0.3307, 0.6614)  3 Sr 2.38-2.39
F (0.2377, 0.6693, 0.3386)  3 Sr 2.38-2.39
Sr (0.0000, 0.5000, 0.0000)  2 F 2.38, 4 O 2.61
Sr (0.5000, 0.5000, 0.5000)  2 F 2.39, 4 O 2.45-2.51
Sr (0.5000, 0.0000, 0.5000)  2 F 2.39, 4 O 2.45-2.51
Ir (0.5000, 0.0000, 0.0000)  6 O 1.91

***

# 2
DFT (PBE) results for AgSeF3 after structural relaxation.

- DOS(E_F) (states/eV/cell) = 0.0
- formation energy from raw total energies (eV/atom) = -1.183
- E above lowest polymorph (kJ/mol of atoms) = 0.0
- space group = P-1 (2)

Cell: 8.5481 6.3193 6.6751 Å, 48.16 40.15 51.83°
Last column: nearest neighbours and their distance in Å.
Positions (direct):
Se (0.8297, 0.9060, 0.4290)  2 F 1.81-1.89
Se (0.1703, 0.0940, 0.5710)  2 F 1.81-1.89
F (0.4863, 0.7606, 0.4929)  1 Se 2.07
F (0.5137, 0.2394, 0.5071)  1 Se 2.07
F (0.9504, 0.2010, 0.2275)  1 Se 1.81
F (0.8480, 0.3260, 0.6902)  1 Se 1.89
F (0.1520, 0.6740, 0.3098)  1 Se 1.89
F (0.0496, 0.7990, 0.7725)  1 Se 1.81
Ag (0.6326, 0.6932, 0.0464)  2 F 2.40-2.44, 1 Se 2.53
Ag (0.3674, 0.3068, 0.9536)  2 F 2.40-2.44, 1 Se 2.53

***

# 3
DFT (PBE) results for Sm2DyBe after structural relaxation.

- DOS(E_F) (states/eV/cell) = 4.1
- formation enthalpy at 0 K (kJ/mol of atoms) = 10.0
- E above lowest polymorph (kJ/mol of atoms) = 0.0
- space group = P4/mmm (123)

Cell: 3.5427 3.5427 8.5777 Å, 90.00 90.00 90.00°
Last column: nearest neighbours and their distance in Å.
Positions (direct):
Be (0.5000, 0.5000, 0.0000)  8 Sm 3.02
Dy (0.5000, 0.5000, 0.5000)  4 Dy 3.54, 8 Sm 3.61
Sm (0.0000, 0.0000, 0.8036)  4 Be 3.02, 1 Sm 3.37
Sm (0.0000, 0.0000, 0.1964)  4 Be 3.02, 1 Sm 3.37

***

# 4
DFT (PBE) results for NdAlGaAg after structural relaxation.

- DOS(E_F) (states/eV/cell) = 1.8
- formation enthalpy at 0 K (kJ/mol of atoms) = -30.1
- space group = F-43m (216)

Cell: 4.9294 4.9294 4.9294 Å, 60.00 60.00 60.00°
Last column: nearest neighbours and their distance in Å.
Positions (direct):
Al (0.5000, 0.5000, 0.5000)  4 Ga 3.02, 4 Ag 3.02
Ga (0.2500, 0.2500, 0.2500)  4 Nd 3.02, 4 Al 3.02
Ag (0.7500, 0.7500, 0.7500)  4 Nd 3.02, 4 Al 3.02
Nd (0.0000, 0.0000, 0.0000)  4 Ga 3.02, 4 Ag 3.02

***

# 5
DFT (PBE) results for CdHgTe2 after structural relaxation.

- DOS(E_F) (states/eV/cell) = 3.1
- formation energy from raw total energies (eV/atom) = 0.125
- E above lowest polymorph (kJ/mol of atoms) = 42.2
- space group = Cmmm (65)

Cell: 5.2841 5.2847 4.1120 Å, 90.00 90.00 104.49°
Last column: nearest neighbours and their distance in Å.
Positions (direct):
Te (0.5000, 0.5000, 0.0000)  2 Te 3.24, 4 Hg 3.35, 4 Cd 3.35
Te (0.0000, 0.0000, 0.0000)  2 Te 3.24, 4 Cd 3.35, 4 Hg 3.35
Cd (0.5000, 0.0000, 0.5000)  2 Hg 3.24, 8 Te 3.35
Hg (0.0000, 0.5000, 0.5000)  2 Cd 3.24, 8 Te 3.35

***

# 6
DFT (PBE) results for KPuHg2 after structural relaxation.

- DOS(E_F) (states/eV/cell) = 8.8
- formation enthalpy at 0 K (kJ/mol of atoms) = -11.0
- E above lowest polymorph (kJ/mol of atoms) = 0.0
- space group = P4/mmm (123)

Cell: 3.7460 3.7460 8.7015 Å, 90.00 90.00 90.00°
Last column: nearest neighbours and their distance in Å.
Positions (direct):
K (0.5000, 0.5000, 0.5000)  8 Hg 3.63, 4 K 3.75
Hg (0.0000, 0.0000, 0.7848)  4 Pu 3.24, 4 K 3.63
Hg (0.0000, 0.0000, 0.2152)  4 Pu 3.24, 4 K 3.63
Pu (0.5000, 0.5000, 0.0000)  8 Hg 3.24